! PmPrGdSc, optimized geometry, DFT GGA-PBE; values from VASP
&SYSTEM
  ibrav = 0, nat = 4, ntyp = 4
/
ATOMIC_SPECIES
Pm 145.00 Pm.upf
Pr 140.91 Pr.upf
Gd 157.25 Gd.upf
Sc 44.96 Sc.upf
ATOMIC_POSITIONS angstrom
Pm 0.000 0.000 0.000
Pr 3.992 3.992 3.992
Gd 1.996 1.996 1.996
Sc 5.987 5.987 5.987
CELL_PARAMETERS angstrom
0.000 3.992 3.992
3.992 0.000 3.992
3.992 3.992 0.000
! crystal system: cubic
! space-group type: F-43m, No. 216
! total energy: -7.377 eV per atom
! magnetization: 7.58 μB per formula unit
! N(E_F): 7.773 states/eV per cell
! energy of formation: 42 kJ/mol of formula units

=====

! LaHoIn6, optimized geometry, DFT GGA-PBE; values from VASP
&SYSTEM
  ibrav = 0, nat = 8, ntyp = 3
/
ATOMIC_SPECIES
La 138.91 La.upf
Ho 164.93 Ho.upf
In 114.82 In.upf
ATOMIC_POSITIONS angstrom
La 0.000 0.000 0.000
Ho 2.649 0.000 7.795
In 0.000 -1.637 2.951
In 0.000 1.637 2.951
In 0.000 0.000 5.793
In 2.649 0.000 2.067
In 2.649 -1.582 4.812
In 2.649 1.582 4.812
CELL_PARAMETERS angstrom
5.297 0.000 0.000
0.000 3.375 5.842
0.000 -3.375 5.842
! crystal system: orthorhombic
! space-group type: Amm2, No. 38
! total energy: -3.632 eV per atom
! magnetization: 0.00 μB per formula unit
! N(E_F): 3.930 states/eV per cell
! energy of formation: -301 kJ/mol of formula units

=====

! PmRuAu, optimized geometry, DFT GGA-PBE; values from VASP
&SYSTEM
  ibrav = 0, nat = 12, ntyp = 3
/
ATOMIC_SPECIES
Pm 145.00 Pm.upf
Ru 101.07 Ru.upf
Au 196.97 Au.upf
ATOMIC_POSITIONS angstrom
Pm 0.134 3.141 3.410
Pm 3.141 3.410 0.134
Pm 3.410 0.134 3.141
Pm 6.417 6.417 6.417
Ru 1.491 5.060 1.784
Ru 1.784 1.491 5.060
Ru 4.767 4.767 4.767
Ru 5.060 1.784 1.491
Au 0.044 3.320 6.507
Au 3.231 3.231 3.231
Au 3.320 6.507 0.044
Au 6.507 0.044 3.320
CELL_PARAMETERS angstrom
6.551 0.000 0.000
0.000 6.551 0.000
0.000 0.000 6.551
! crystal system: cubic
! space-group type: P2_13, No. 198
! total energy: -5.671 eV per atom
! magnetization: 0.65 μB per formula unit
! N(E_F): 18.640 states/eV per cell
! energy of formation: 28 kJ/mol of formula units

=====

! CaScAl2, optimized geometry, DFT GGA-PBE; values from VASP
&SYSTEM
  ibrav = 0, nat = 4, ntyp = 3
/
ATOMIC_SPECIES
Ca 40.08 Ca.upf
Sc 44.96 Sc.upf
Al 26.98 Al.upf
ATOMIC_POSITIONS angstrom
Ca 0.000 0.000 0.000
Sc 2.193 0.000 2.355
Al 0.000 0.000 4.710
Al 0.000 2.193 2.355
CELL_PARAMETERS angstrom
-2.193 2.193 4.710
2.193 -2.193 4.710
2.193 2.193 -4.710
! crystal system: tetragonal
! space-group type: I-4m2, No. 119
! total energy: -4.015 eV per atom
! magnetization: 0.00 μB per formula unit
! N(E_F): 4.435 states/eV per cell
! energy of formation: -23 kJ/mol of formula units

=====

! NdGa2Pt6, optimized geometry, DFT GGA-PBE; values from VASP
&SYSTEM
  ibrav = 0, nat = 18, ntyp = 3
/
ATOMIC_SPECIES
Nd 144.24 Nd.upf
Ga 69.72 Ga.upf
Pt 195.08 Pt.upf
ATOMIC_POSITIONS angstrom
Nd 1.423 1.423 1.423
Nd 9.961 9.961 9.961
Ga 5.692 2.846 2.846
Ga 2.846 5.692 2.846
Ga 2.846 2.846 5.692
Ga 5.692 5.692 5.692
Pt 4.269 4.269 1.424
Pt 4.269 1.424 4.269
Pt 7.114 4.269 4.269
Pt 7.115 7.115 4.270
Pt 7.115 4.270 7.115
Pt 9.960 7.115 7.115
Pt 1.424 4.269 4.269
Pt 4.269 7.114 4.269
Pt 4.269 4.269 7.114
Pt 4.270 7.115 7.115
Pt 7.115 9.960 7.115
Pt 7.115 7.115 9.960
CELL_PARAMETERS angstrom
0.000 5.692 5.692
5.692 0.000 5.692
5.692 5.692 0.000
! crystal system: cubic
! space-group type: Fd-3m, No. 227
! total energy: -5.645 eV per atom
! magnetization: 0.00 μB per formula unit
! N(E_F): 3.096 states/eV per cell
! energy of formation: -361 kJ/mol of formula units

=====

! CaAc4Rh2, optimized geometry, DFT GGA-PBE; values from VASP
&SYSTEM
  ibrav = 0, nat = 7, ntyp = 3
/
ATOMIC_SPECIES
Ca 40.08 Ca.upf
Ac 227.00 Ac.upf
Rh 102.91 Rh.upf
ATOMIC_POSITIONS angstrom
Ca 0.000 0.000 0.000
Ac 0.000 0.000 10.069
Ac 0.000 0.000 19.864
Ac 0.000 0.000 29.865
Ac 0.000 0.000 39.660
Rh 0.000 0.000 4.914
Rh 0.000 0.000 44.814
CELL_PARAMETERS angstrom
2.165 1.250 16.576
-2.165 1.250 16.576
0.000 -2.500 16.576
! crystal system: trigonal
! space-group type: R-3m, No. 166
! total energy: -5.198 eV per atom
! magnetization: 0.00 μB per formula unit
! N(E_F): 6.838 states/eV per cell
! energy of formation: -313 kJ/mol of formula units

=====

! Sn4Te5Pb, optimized geometry, DFT GGA-PBE; values from VASP
&SYSTEM
  ibrav = 0, nat = 10, ntyp = 3
/
ATOMIC_SPECIES
Sn 118.71 Sn.upf
Te 127.60 Te.upf
Pb 207.20 Pb.upf
ATOMIC_POSITIONS angstrom
Sn 0.000 0.000 3.232
Sn 0.000 0.000 9.627
Sn 0.000 0.000 22.502
Sn 0.000 0.000 28.897
Te 0.000 0.000 0.000
Te 0.000 0.000 6.416
Te 0.000 0.000 12.795
Te 0.000 0.000 19.334
Te 0.000 0.000 25.713
Pb 0.000 0.000 16.065
CELL_PARAMETERS angstrom
-2.275 2.275 16.065
2.275 -2.275 16.065
2.275 2.275 -16.065
! crystal system: tetragonal
! space-group type: I4/mmm, No. 139
! formation energy without anion corrections: -3.1 eV per formula unit
! total energy: -3.851 eV per atom
! magnetization: 0.00 μB per formula unit
! N(E_F): 0.414 states/eV per cell

=====

! SrSi2BiPb, optimized geometry, DFT GGA-PBE; values from VASP
&SYSTEM
  ibrav = 0, nat = 5, ntyp = 4
/
ATOMIC_SPECIES
Sr 87.62 Sr.upf
Si 28.09 Si.upf
Bi 208.98 Bi.upf
Pb 207.20 Pb.upf
ATOMIC_POSITIONS angstrom
Sr 0.000 0.000 0.000
Si 0.000 2.755 0.000
Si 2.755 0.000 0.000
Bi 2.755 2.755 3.008
Pb 0.000 0.000 3.008
CELL_PARAMETERS angstrom
5.511 0.000 0.000
0.000 5.511 0.000
0.000 0.000 6.017
! crystal system: tetragonal
! space-group type: P4/mmm, No. 123
! formation energy without anion corrections: 6.4 eV per formula unit
! total energy: -2.735 eV per atom
! magnetization: 0.00 μB per formula unit
! N(E_F): 7.056 states/eV per cell